No. 1
This record from the Alexandria database describes Pm6Cd2Rh after structural relaxation. The functional is GGA-PBE.

## Properties
ΔH_f (0 K) (eV/atom): -0.091
DFT total energy (eV/atom): -4.28
Crystal system: monoclinic

Lattice parameters (Å, degrees): 15.846 7.185 5.439 90.00 109.85 90.00
Space group C2/m (No. 12)
Inequivalent atoms, fractional coordinates:
Pm1 0.000 0.231 0.000 x4
Pm2 0.152 0.247 0.650 x8
Cd1 0.169 0.500 0.167 x4
Rh1 0.000 0.000 0.500 x2

---

No. 2
This record from the Alexandria database describes BaAlHg after structural relaxation. The functional is GGA-PBE.

## Properties
ΔH_f (0 K) (eV/atom): -0.300
E above lowest polymorph (eV per formula unit): 0.06
DFT total energy (eV/atom): -2.29
Crystal system: hexagonal

Lattice parameters (Å, degrees): 4.8462 4.8462 4.7255 90.00 90.00 120.00
Space group P-6m2 (No. 187)
Inequivalent atoms, fractional coordinates:
Ba1 0.0000 0.0000 0.0000 x1
Al1 0.3333 0.6667 0.5000 x1
Hg1 0.6667 0.3333 0.5000 x1

---

No. 3
This record from the Alexandria database describes DyAlPtAu after structural relaxation. The functional is GGA-PBE.

## Properties
ΔH_f (0 K) (eV/atom): -0.842
DFT total energy (eV/atom): -5.26
Crystal system: cubic

Lattice parameters (Å, degrees): 6.734 6.734 6.734 90.00 90.00 90.00
Space group F-43m (No. 216)
Inequivalent atoms, fractional coordinates:
Dy1 0.000 0.000 0.000 x4
Al1 0.000 0.000 0.500 x4
Pt1 0.250 0.250 0.750 x4
Au1 0.250 0.250 0.250 x4

---

No. 4
This record from the Alexandria database describes NaTb2PaS6 after structural relaxation. The functional is GGA-PBE.

## Properties
Formation energy from raw total energies (eV per atom): -1.771
DFT total energy (eV/atom): -6.25
Crystal system: trigonal

Lattice parameters (Å, degrees): 6.9687 6.9687 18.6981 90.00 90.00 120.00
Space group R3 (No. 146, hexagonal axes)
Inequivalent atoms, fractional coordinates:
Na1 0.0000 0.0000 0.0000 x3
Tb1 0.0000 0.0000 0.2837 x3
Tb2 0.0000 0.0000 0.7949 x3
Pa1 0.0000 0.0000 0.4815 x3
S1 0.0244 0.3427 0.5527 x9
S2 0.0291 0.7269 0.3891 x9

---

No. 5
This record from the Alexandria database describes Y2SbIr after structural relaxation. The functional is GGA-PBE.

## Properties
Formation energy from raw total energies (eV per atom): -0.721
DFT total energy (eV/atom): -7.20
Crystal system: monoclinic

Lattice parameters (Å, degrees): 7.342 4.216 7.265 90.00 109.46 90.00
Space group C2/m (No. 12)
Inequivalent atoms, fractional coordinates:
Y1 0.240 0.000 0.221 x4
Sb1 0.000 0.000 0.500 x2
Ir1 0.000 0.500 0.000 x2

---

No. 6
This record from the Alexandria database describes SrLiCd2Pd after structural relaxation. The functional is GGA-PBE.

## Properties
ΔH_f (0 K) (eV/atom): -0.269
E above lowest polymorph (eV per formula unit): 0.66
DFT total energy (eV/atom): -2.39
Crystal system: tetragonal

Lattice parameters (Å, degrees): 5.279 5.279 4.780 90.00 90.00 90.00
Space group P4/mmm (No. 123)
Inequivalent atoms, fractional coordinates:
Sr1 0.000 0.000 0.000 x1
Li1 0.500 0.500 0.000 x1
Cd1 0.000 0.500 0.500 x2
Pd1 0.500 0.500 0.500 x1

---

No. 7
This record from the Alexandria database describes Sc2MnGe after structural relaxation. The functional is GGA-PBE.

## Properties
ΔH_f (0 K) (eV/atom): -0.186
DFT total energy (eV/atom): -6.80
Crystal system: cubic

Lattice parameters (Å, degrees): 6.446 6.446 6.446 90.00 90.00 90.00
Space group F-43m (No. 216)
Inequivalent atoms, fractional coordinates:
Sc1 0.000 0.000 0.000 x4
Sc2 0.250 0.250 0.250 x4
Mn1 0.000 0.000 0.500 x4
Ge1 0.250 0.250 0.750 x4

---

No. 8
This record from the Alexandria database describes NdCu3Ni2 after structural relaxation. The functional is GGA-PBE.

## Properties
ΔH_f (0 K) (eV/atom): 0.109
DFT total energy (eV/atom): -4.66
Crystal system: trigonal

Lattice parameters (Å, degrees): 5.7131 5.7131 19.1822 90.00 90.00 120.00
Space group R-3m (No. 166, hexagonal axes)
Inequivalent atoms, fractional coordinates:
Nd1 0.0000 0.0000 0.2229 x6
Cu1 0.0353 0.5177 0.2310 x18
Ni1 0.0000 0.0000 0.0000 x3
Ni2 0.0000 0.5000 0.0000 x9

---

No. 9
This record from the Alexandria database describes Ta2NiOs after structural relaxation. The functional is GGA-PBE.

## Properties
ΔH_f (0 K) (eV/atom): -0.198
E above lowest polymorph (eV per formula unit): 0.21
DFT total energy (eV/atom): -10.38
Crystal system: monoclinic

Lattice parameters (Å, degrees): 3.037 3.543 5.747 90.00 90.11 90.00
Space group P2/m (No. 10)
Inequivalent atoms, fractional coordinates:
Ta1 0.001 0.000 0.254 x2
Ni1 0.500 0.500 0.500 x1
Os1 0.500 0.500 0.000 x1

---

No. 10
This record from the Alexandria database describes BSbHI2 after structural relaxation. The functional is GGA-PBE.

## Properties
E above lowest polymorph (eV per formula unit): 0.22
DFT total energy (eV/atom): -2.31
Crystal system: tetragonal

Lattice parameters (Å, degrees): 5.566 5.566 3.894 90.00 90.00 90.00
Space group P4/mmm (No. 123)
Inequivalent atoms, fractional coordinates:
B1 0.000 0.000 0.000 x1
Sb1 0.500 0.500 0.000 x1
H1 0.500 0.500 0.500 x1
I1 0.000 0.500 0.500 x2

---

No. 11
This record from the Alexandria database describes Rb2PrI4 after structural relaxation. The functional is GGA-PBE.

## Properties
Formation energy from raw total energies (eV per atom): -1.307
DFT total energy (eV/atom): -3.15
Crystal system: tetragonal

Lattice parameters (Å, degrees): 6.253 6.253 18.699 90.00 90.00 90.00
Space group I4/mmm (No. 139)
Inequivalent atoms, fractional coordinates:
Rb1 0.000 0.000 0.135 x4
Pr1 0.000 0.000 0.500 x2
I1 0.000 0.000 0.329 x4
I2 0.000 0.500 0.000 x4

---

No. 12
This record from the Alexandria database describes Dy3Zn2Si4 after structural relaxation. The functional is GGA-PBE.

## Properties
Formation energy from raw total energies (eV per atom): -0.650
DFT total energy (eV/atom): -4.88
Crystal system: monoclinic

Lattice parameters (Å, degrees): 10.658 4.092 8.071 90.00 101.43 90.00
Space group C2/m (No. 12)
Inequivalent atoms, fractional coordinates:
Dy1 0.000 0.000 0.000 x2
Dy2 0.165 0.500 0.671 x4
Zn1 0.111 0.500 0.279 x4
Si1 0.060 0.000 0.392 x4
Si2 0.219 0.500 0.053 x4

---

No. 13
This record from the Alexandria database describes LiPaSnGe after structural relaxation. The functional is GGA-PBE.

## Properties
ΔH_f (0 K) (eV/atom): -0.179
DFT total energy (eV/atom): -5.19
Crystal system: cubic

Lattice parameters (Å, degrees): 7.077 7.077 7.077 90.00 90.00 90.00
Space group F-43m (No. 216)
Inequivalent atoms, fractional coordinates:
Li1 0.000 0.000 0.000 x4
Pa1 0.000 0.000 0.500 x4
Sn1 0.250 0.250 0.250 x4
Ge1 0.250 0.250 0.750 x4

---

No. 14
This record from the Alexandria database describes YTiS2N after structural relaxation. The functional is GGA-PBE.

## Properties
Formation energy from raw total energies (eV per atom): -1.138
E above lowest polymorph (eV per formula unit): 0.00
DFT total energy (eV/atom): -7.33
Crystal system: tetragonal

Lattice parameters (Å, degrees): 4.799 4.799 3.815 90.00 90.00 90.00
Space group P4/mmm (No. 123)
Inequivalent atoms, fractional coordinates:
Y1 0.000 0.000 0.000 x1
Ti1 0.500 0.500 0.500 x1
S1 0.000 0.500 0.500 x2
N1 0.500 0.500 0.000 x1

---

No. 15
This record from the Alexandria database describes Cs6Rb2AuO2 after structural relaxation. The functional is GGA-PBE.

## Properties
Formation energy from raw total energies (eV per atom): -0.587
DFT total energy (eV/atom): -2.43
Crystal system: trigonal

Lattice parameters (Å, degrees): 9.4262 9.4262 29.0142 90.00 90.00 120.00
Space group R-3m (No. 166, hexagonal axes)
Inequivalent atoms, fractional coordinates:
Cs1 0.0191 0.5096 0.2467 x18
Rb1 0.0000 0.0000 0.3045 x6
Au1 0.0000 0.0000 0.0000 x3
O1 0.0000 0.0000 0.3938 x6

---

No. 16
This record from the Alexandria database describes Sc4Al3Zn after structural relaxation. The functional is GGA-PBE.

## Properties
ΔH_f (0 K) (eV/atom): -0.438
DFT total energy (eV/atom): -5.17
Crystal system: trigonal

Lattice parameters (Å, degrees): 4.7704 4.7704 23.3676 90.00 90.00 120.00
Space group R-3m (No. 166, hexagonal axes)
Inequivalent atoms, fractional coordinates:
Sc1 0.0000 0.0000 0.1235 x6
Sc2 0.0000 0.0000 0.3735 x6
Al1 0.0000 0.0000 0.2496 x6
Al2 0.0000 0.0000 0.5000 x3
Zn1 0.0000 0.0000 0.0000 x3

---

No. 17
This record from the Alexandria database describes ErGa2Pt5 after structural relaxation. The functional is GGA-PBE.

## Properties
ΔH_f (0 K) (eV/atom): -0.756
DFT total energy (eV/atom): -5.86
Crystal system: orthorhombic

Lattice parameters (Å, degrees): 3.805 7.197 10.188 90.00 90.00 90.00
Space group Immm (No. 71)
Inequivalent atoms, fractional coordinates:
Er1 0.000 0.000 0.000 x2
Ga1 0.000 0.500 0.247 x4
Pt1 0.000 0.205 0.362 x8
Pt2 0.000 0.500 0.000 x2

---

No. 18
This record from the Alexandria database describes K2AlSe after structural relaxation. The functional is GGA-PBE.

## Properties
Formation energy from raw total energies (eV per atom): -0.228
E above lowest polymorph (eV per formula unit): 0.96
DFT total energy (eV/atom): -2.58
Crystal system: orthorhombic

Lattice parameters (Å, degrees): 4.930 4.941 10.039 90.00 90.00 90.00
Space group Immm (No. 71)
Inequivalent atoms, fractional coordinates:
K1 0.000 0.000 0.250 x4
Al1 0.000 0.500 0.000 x2
Se1 0.000 0.500 0.500 x2

---

No. 19
This record from the Alexandria database describes LaHoAgOs after structural relaxation. The functional is GGA-PBE.

## Properties
ΔH_f (0 K) (eV/atom): -0.166
DFT total energy (eV/atom): -6.06
Crystal system: cubic

Lattice parameters (Å, degrees): 7.159 7.159 7.159 90.00 90.00 90.00
Space group F-43m (No. 216)
Inequivalent atoms, fractional coordinates:
La1 0.000 0.000 0.000 x4
Ho1 0.000 0.000 0.500 x4
Ag1 0.250 0.250 0.250 x4
Os1 0.250 0.250 0.750 x4

---

No. 20
This record from the Alexandria database describes Ce5PuSb4 after structural relaxation. The functional is GGA-PBE.

## Properties
Formation energy from raw total energies (eV per atom): -0.489
DFT total energy (eV/atom): -6.54
Crystal system: monoclinic

Lattice parameters (Å, degrees): 19.074 4.368 8.698 90.00 105.40 90.00
Space group C2/m (No. 12)
Inequivalent atoms, fractional coordinates:
Ce1 0.000 0.000 0.000 x2
Ce2 0.161 0.500 0.318 x4
Ce3 0.179 0.500 0.850 x4
Pu1 0.000 0.000 0.500 x2
Sb1 0.010 0.500 0.754 x4
Sb2 0.169 0.000 0.584 x4

---

No. 21
This record from the Alexandria database describes Y2TiMo after structural relaxation. The functional is GGA-PBE.

## Properties
ΔH_f (0 K) (eV/atom): 0.479
E above lowest polymorph (eV per formula unit): 0.00
DFT total energy (eV/atom): -7.43
Crystal system: cubic

Lattice parameters (Å, degrees): 7.124 7.124 7.124 90.00 90.00 90.00
Space group Fm-3m (No. 225)
Inequivalent atoms, fractional coordinates:
Y1 0.250 0.250 0.250 x8
Ti1 0.000 0.000 0.000 x4
Mo1 0.000 0.000 0.500 x4

---

No. 22
This record from the Alexandria database describes ZrRu2Rh after structural relaxation. The functional is GGA-PBE.

## Properties
ΔH_f (0 K) (eV/atom): 0.165
DFT total energy (eV/atom): -8.45
Crystal system: tetragonal

Lattice parameters (Å, degrees): 3.823 3.823 18.699 90.00 90.00 90.00
Space group I-42d (No. 122)
Inequivalent atoms, fractional coordinates:
Zr1 0.000 0.000 0.000 x4
Ru1 0.219 0.250 0.625 x8
Rh1 0.000 0.000 0.500 x4

---

No. 23
This record from the Alexandria database describes Ca4LaAu after structural relaxation. The functional is GGA-PBE.

## Properties
ΔH_f (0 K) (eV/atom): 0.313
DFT total energy (eV/atom): -2.39
Crystal system: cubic

Lattice parameters (Å, degrees): 9.634 9.634 9.634 90.00 90.00 90.00
Space group F-43m (No. 216)
Inequivalent atoms, fractional coordinates:
Ca1 0.125 0.125 0.125 x16
La1 0.250 0.250 0.750 x4
Au1 0.000 0.000 0.500 x4

---

No. 24
This record from the Alexandria database describes LaTb7Er5 after structural relaxation. The functional is GGA-PBE.

## Properties
ΔH_f (0 K) (eV/atom): 0.138
E above lowest polymorph (eV per formula unit): 0.00
DFT total energy (eV/atom): -4.49
Crystal system: monoclinic

Lattice parameters (Å, degrees): 12.927 11.672 6.431 90.00 119.27 90.00
Space group Cm (No. 8)
Inequivalent atoms, fractional coordinates:
La1 0.000 0.000 0.000 x2
Tb1 0.009 0.336 0.032 x4
Tb2 0.241 0.500 0.991 x2
Tb3 0.243 0.500 0.446 x2
Tb4 0.476 0.332 0.500 x4
Tb5 0.487 0.000 0.495 x2
Er1 0.242 0.272 0.642 x4
Er2 0.245 0.000 0.626 x2
Er3 0.246 0.159 0.115 x4

---

No. 25
This record from the Alexandria database describes NiSeI2 after structural relaxation. The functional is GGA-PBE.

## Properties
Formation energy from raw total energies (eV per atom): 0.856
E above lowest polymorph (eV per formula unit): 2.41
DFT total energy (eV/atom): -2.24
Crystal system: cubic

Lattice parameters (Å, degrees): 7.266 7.266 7.266 90.00 90.00 90.00
Space group Fm-3m (No. 225)
Inequivalent atoms, fractional coordinates:
Ni1 0.000 0.000 0.000 x4
Se1 0.000 0.000 0.500 x4
I1 0.250 0.250 0.250 x8

---

No. 26
This record from the Alexandria database describes Rb2BaIO6 after structural relaxation. The functional is GGA-PBE.

## Properties
Formation energy from raw total energies (eV per atom): -1.253
DFT total energy (eV/atom): -4.77
Crystal system: trigonal

Lattice parameters (Å, degrees): 6.3712 6.3712 36.2078 90.00 90.00 120.00
Space group R-3m (No. 166, hexagonal axes)
Inequivalent atoms, fractional coordinates:
Rb1 0.0000 0.0000 0.1428 x6
Rb2 0.0000 0.0000 0.3020 x6
Ba1 0.0000 0.0000 0.4057 x6
I1 0.0000 0.0000 0.0000 x3
I2 0.0000 0.0000 0.5000 x3
O1 0.0490 0.5245 0.6968 x18
O2 0.0553 0.5277 0.1356 x18